# 1
Compound: Ce3YTl4Se8
Source: Alexandria
Functional: PBE-GGA
Structure: relaxed

```
data_Ce3YTl4Se8
_chemical_formula_sum 'Ce3 Y1 Tl4 Se8'
_symmetry_space_group_name_H-M 'P 1'
_symmetry_Int_Tables_number 1
_cell_length_a 8.6161
_cell_length_b 9.2000
_cell_length_c 8.6184
_cell_angle_alpha 117.95
_cell_angle_beta 119.99
_cell_angle_gamma 90.00
loop_
_symmetry_equiv_pos_as_xyz
'x,y,z'
loop_
_atom_site_label
_atom_site_type_symbol
_atom_site_fract_x
_atom_site_fract_y
_atom_site_fract_z
_atom_site_occupancy
Tl1 Tl 0.0000 0.0000 0.5000 1
Se1 Se 0.7677 0.2930 0.5355 1
Tl2 Tl 0.5000 0.0000 0.5000 1
Se2 Se 0.2575 0.2931 0.0252 1
Se3 Se 0.7367 0.7100 0.4734 1
Y1 Y 0.0000 0.5000 0.0000 1
Se4 Se 0.2323 0.7069 0.9748 1
Ce1 Ce 0.0000 0.5000 0.5000 1
Tl3 Tl 0.5000 0.0000 0.0000 1
Se5 Se 0.7677 0.2931 0.0252 1
Se6 Se 0.2323 0.7070 0.4645 1
Se7 Se 0.7425 0.7069 0.9748 1
Ce2 Ce 0.5000 0.5000 0.5000 1
Ce3 Ce 0.5000 0.5000 0.0000 1
Se8 Se 0.2633 0.2900 0.5266 1
Tl4 Tl 0.0000 0.0000 0.0000 1
```

Calculated values
- final energy (eV per atom) = -5.1853
- raw formation energy (kJ/mol of formula units) = -2061



# 2
Compound: CdNiSn2
Source: Alexandria
Functional: PBE-GGA
Structure: relaxed

```
data_CdNiSn2
_chemical_formula_sum 'Cd1 Ni1 Sn2'
_symmetry_space_group_name_H-M 'P 1'
_symmetry_Int_Tables_number 1
_cell_length_a 3.1828
_cell_length_b 3.1828
_cell_length_c 8.4914
_cell_angle_alpha 90.00
_cell_angle_beta 90.00
_cell_angle_gamma 90.00
loop_
_symmetry_equiv_pos_as_xyz
'x,y,z'
loop_
_atom_site_label
_atom_site_type_symbol
_atom_site_fract_x
_atom_site_fract_y
_atom_site_fract_z
_atom_site_occupancy
Cd1 Cd 0.5000 0.5000 0.5000 1
Ni1 Ni 0.5000 0.5000 0.0000 1
Sn1 Sn 0.0000 0.0000 0.1932 1
Sn2 Sn 0.0000 0.0000 0.8068 1
```

Calculated values
- DFT formation energy (eV/atom) = 0.001
- final energy (eV per atom) = -3.6747



# 3
Compound: LiCo2PC
Source: Alexandria
Functional: PBE-GGA
Structure: relaxed

```
data_LiCo2PC
_chemical_formula_sum 'Li1 Co2 P1 C1'
_symmetry_space_group_name_H-M 'P 1'
_symmetry_Int_Tables_number 1
_cell_length_a 4.2202
_cell_length_b 3.6668
_cell_length_c 4.2202
_cell_angle_alpha 90.00
_cell_angle_beta 90.00
_cell_angle_gamma 90.00
loop_
_symmetry_equiv_pos_as_xyz
'x,y,z'
loop_
_atom_site_label
_atom_site_type_symbol
_atom_site_fract_x
_atom_site_fract_y
_atom_site_fract_z
_atom_site_occupancy
C1 C 0.0000 0.5000 0.0000 1
Li1 Li 0.5000 0.5000 0.5000 1
P1 P 0.0000 0.0000 0.0000 1
Co1 Co 0.5000 0.0000 0.0000 1
Co2 Co 0.0000 0.0000 0.5000 1
```

Calculated values
- DFT formation energy (eV/atom) = 0.888
- final energy (eV per atom) = -5.2635



# 4
Compound: Tl2InGaS4
Source: Alexandria
Functional: PBE-GGA
Structure: relaxed

```
data_Tl2InGaS4
_chemical_formula_sum 'Tl4 In2 Ga2 S8'
_symmetry_space_group_name_H-M 'P 1'
_symmetry_Int_Tables_number 1
_cell_length_a 6.4960
_cell_length_b 9.4973
_cell_length_c 7.7698
_cell_angle_alpha 90.00
_cell_angle_beta 90.00
_cell_angle_gamma 90.00
loop_
_symmetry_equiv_pos_as_xyz
'x,y,z'
loop_
_atom_site_label
_atom_site_type_symbol
_atom_site_fract_x
_atom_site_fract_y
_atom_site_fract_z
_atom_site_occupancy
Ga1 Ga 0.5027 0.8682 0.5000 1
S1 S 0.3602 0.1275 0.0000 1
Tl1 Tl 0.9585 0.6618 0.7622 1
Tl2 Tl 0.4585 0.3382 0.7378 1
Ga2 Ga 0.0027 0.1318 0.0000 1
S2 S 0.9146 0.2611 0.7590 1
S3 S 0.8602 0.8725 0.5000 1
Tl3 Tl 0.9585 0.6618 0.2378 1
In1 In 0.5023 0.8857 0.0000 1
In2 In 0.0023 0.1143 0.5000 1
S4 S 0.3883 0.0963 0.5000 1
S5 S 0.9146 0.2611 0.2410 1
S6 S 0.4146 0.7389 0.7410 1
S7 S 0.8883 0.9037 0.0000 1
S8 S 0.4146 0.7389 0.2590 1
Tl4 Tl 0.4585 0.3382 0.2622 1
```

Calculated values
- final energy (eV per atom) = -3.9322
- raw formation energy (kJ/mol of formula units) = -429



# 5
Compound: TiFe2NiHg
Source: Alexandria
Functional: PBE-GGA
Structure: relaxed

```
data_TiFe2NiHg
_chemical_formula_sum 'Ti1 Fe2 Ni1 Hg1'
_symmetry_space_group_name_H-M 'P 1'
_symmetry_Int_Tables_number 1
_cell_length_a 4.3309
_cell_length_b 4.4792
_cell_length_c 4.3309
_cell_angle_alpha 90.00
_cell_angle_beta 90.00
_cell_angle_gamma 90.00
loop_
_symmetry_equiv_pos_as_xyz
'x,y,z'
loop_
_atom_site_label
_atom_site_type_symbol
_atom_site_fract_x
_atom_site_fract_y
_atom_site_fract_z
_atom_site_occupancy
Ti1 Ti 0.0000 0.0000 0.0000 1
Fe1 Fe 0.5000 0.0000 0.0000 1
Hg1 Hg 0.5000 0.5000 0.5000 1
Fe2 Fe 0.0000 0.0000 0.5000 1
Ni1 Ni 0.0000 0.5000 0.0000 1
```

Calculated values
- DFT formation energy (eV/atom) = 0.981
- final energy (eV per atom) = -5.1998



# 6
Compound: RhSe2Cl
Source: Alexandria
Functional: PBE-GGA
Structure: relaxed

```
data_RhSe2Cl
_chemical_formula_sum 'Rh1 Se2 Cl1'
_symmetry_space_group_name_H-M 'P 1'
_symmetry_Int_Tables_number 1
_cell_length_a 4.6607
_cell_length_b 4.6607
_cell_length_c 4.6607
_cell_angle_alpha 120.03
_cell_angle_beta 120.03
_cell_angle_gamma 89.95
loop_
_symmetry_equiv_pos_as_xyz
'x,y,z'
loop_
_atom_site_label
_atom_site_type_symbol
_atom_site_fract_x
_atom_site_fract_y
_atom_site_fract_z
_atom_site_occupancy
Se1 Se 0.0000 0.0000 0.0000 1
Cl1 Cl 0.5000 0.5000 0.0000 1
Rh1 Rh 0.7500 0.2500 0.5000 1
Se2 Se 0.2500 0.7500 0.5000 1
```

Calculated values
- relative energy among the computed polymorphs (eV/atom) = 0.892
- final energy (eV per atom) = -3.4899
- raw formation energy (kJ/mol of formula units) = 213